No. 1
{"formula": "ErCo3B2", "functional": "PBE-GGA", "state": "optimized geometry", "cell": [[8.3209, 0.0000, 0.0000], [-4.1605, 7.2062, 0.0000], [0.0000, 0.0000, 3.3048]], "species": ["Er", "Er", "Er", "Co", "Co", "Co", "Co", "Co", "Co", "Co", "Co", "Co", "B", "B", "B", "B", "B", "B"], "fractional_positions": [[0.0000, 0.0000, 0.0000], [0.3333, 0.6667, 0.5000], [0.6667, 0.3333, 0.5000], [0.0000, 0.2859, 0.5000], [0.0000, 0.5000, 0.0000], [0.0000, 0.7141, 0.5000], [0.2859, 0.0000, 0.5000], [0.2859, 0.2859, 0.5000], [0.5000, 0.0000, 0.0000], [0.5000, 0.5000, 0.0000], [0.7141, 0.0000, 0.5000], [0.7141, 0.7141, 0.5000], [0.1882, 0.3765, 0.0000], [0.1882, 0.8118, 0.0000], [0.3765, 0.1882, 0.0000], [0.6235, 0.8118, 0.0000], [0.8118, 0.1882, 0.0000], [0.8118, 0.6235, 0.0000]], "dos_at_fermi_per_ev_atom": 1.06, "m_tot_mub_per_fu": 2.23, "formation_energy_ev_per_atom": -0.324}


No. 2
{"formula": "ErCo4B", "functional": "PBE-GGA", "state": "optimized geometry", "cell": [[2.0123, -6.7128, 0.0000], [2.0123, 6.7128, 0.0000], [0.0000, 0.0000, 5.4688]], "species": ["Er", "Er", "Co", "Co", "Co", "Co", "Co", "Co", "Co", "Co", "B", "B"], "fractional_positions": [[0.0951, 0.9049, 0.7500], [0.9049, 0.0951, 0.2500], [0.1249, 0.8751, 0.2500], [0.2930, 0.7070, 0.0060], [0.2930, 0.7070, 0.4940], [0.5000, 0.5000, 0.0000], [0.5000, 0.5000, 0.5000], [0.7070, 0.2930, 0.5060], [0.7070, 0.2930, 0.9940], [0.8751, 0.1249, 0.7500], [0.3956, 0.6044, 0.7500], [0.6044, 0.3956, 0.2500]], "dos_at_fermi_per_ev_atom": 0.88, "m_tot_mub_per_fu": 3.58, "formation_energy_ev_per_atom": -0.159}


No. 3
{"formula": "ErCo5B3", "functional": "PBE-GGA", "state": "optimized geometry", "cell": [[1.7167, -5.4077, 0.0000], [1.7167, 5.4077, 0.0000], [0.0000, 0.0000, 10.2801]], "species": ["Er", "Er", "Co", "Co", "Co", "Co", "Co", "Co", "Co", "Co", "Co", "Co", "B", "B", "B", "B", "B", "B"], "fractional_positions": [[0.1639, 0.8361, 0.7500], [0.8361, 0.1639, 0.2500], [0.0000, 0.0000, 0.0000], [0.0000, 0.0000, 0.5000], [0.2019, 0.7981, 0.0659], [0.2019, 0.7981, 0.4341], [0.4441, 0.5559, 0.6441], [0.4441, 0.5559, 0.8559], [0.5559, 0.4441, 0.1441], [0.5559, 0.4441, 0.3559], [0.7981, 0.2019, 0.5659], [0.7981, 0.2019, 0.9341], [0.1255, 0.8745, 0.2500], [0.3841, 0.6159, 0.0448], [0.3841, 0.6159, 0.4552], [0.6159, 0.3841, 0.5448], [0.6159, 0.3841, 0.9552], [0.8745, 0.1255, 0.7500]], "dos_at_fermi_per_ev_atom": 0.95, "m_tot_mub_per_fu": 0.55, "formation_energy_ev_per_atom": -0.278}


No. 4
{"formula": "ErCo4B", "functional": "PBE-GGA", "state": "optimized geometry", "cell": [[4.9725, 0.0000, 0.0000], [-2.4862, 4.3063, 0.0000], [0.0000, 0.0000, 6.8355]], "species": ["Er", "Er", "Co", "Co", "Co", "Co", "Co", "Co", "Co", "Co", "B", "B"], "fractional_positions": [[0.0000, 0.0000, 0.0000], [0.0000, 0.0000, 0.5000], [0.0000, 0.5000, 0.2125], [0.0000, 0.5000, 0.7875], [0.3333, 0.6667, 0.5000], [0.5000, 0.0000, 0.2125], [0.5000, 0.0000, 0.7875], [0.5000, 0.5000, 0.2125], [0.5000, 0.5000, 0.7875], [0.6667, 0.3333, 0.5000], [0.3333, 0.6667, 0.0000], [0.6667, 0.3333, 0.0000]], "dos_at_fermi_per_ev_atom": 1.13, "m_tot_mub_per_fu": 3.55, "formation_energy_ev_per_atom": -0.319}


No. 5
{"formula": "ErCo4B4", "functional": "PBE-GGA", "state": "optimized geometry", "cell": [[4.9933, 0.0000, 0.0000], [0.0000, 4.9933, 0.0000], [0.0000, 0.0000, 6.9522]], "species": ["Er", "Er", "Co", "Co", "Co", "Co", "Co", "Co", "Co", "Co", "B", "B", "B", "B", "B", "B", "B", "B"], "fractional_positions": [[0.2500, 0.7500, 0.2500], [0.7500, 0.2500, 0.7500], [0.0034, 0.7500, 0.6137], [0.2500, 0.5034, 0.8863], [0.2500, 0.9966, 0.8863], [0.4966, 0.7500, 0.6137], [0.5034, 0.2500, 0.3863], [0.7500, 0.0034, 0.1137], [0.7500, 0.4966, 0.1137], [0.9966, 0.2500, 0.3863], [0.0747, 0.2500, 0.0906], [0.2500, 0.0747, 0.5906], [0.2500, 0.4253, 0.5906], [0.4253, 0.2500, 0.0906], [0.5747, 0.7500, 0.9094], [0.7500, 0.5747, 0.4094], [0.7500, 0.9253, 0.4094], [0.9253, 0.7500, 0.9094]], "dos_at_fermi_per_ev_atom": 0.68, "m_tot_mub_per_fu": 0.00, "formation_energy_ev_per_atom": -0.519}


No. 6
{"formula": "ErCo3B2", "functional": "PBE-GGA", "state": "optimized geometry", "cell": [[4.0578, -3.4039, 0.0000], [4.0578, 3.4039, 0.0000], [0.0000, 0.0000, 4.8266]], "species": ["Er", "Er", "Co", "Co", "Co", "Co", "Co", "Co", "B", "B", "B", "B"], "fractional_positions": [[0.1506, 0.8494, 0.7500], [0.8494, 0.1506, 0.2500], [0.0029, 0.5852, 0.2500], [0.4148, 0.9971, 0.2500], [0.4605, 0.5395, 0.2500], [0.5395, 0.4605, 0.7500], [0.5852, 0.0029, 0.7500], [0.9971, 0.4148, 0.7500], [0.2899, 0.2899, 0.0000], [0.2899, 0.2899, 0.5000], [0.7101, 0.7101, 0.0000], [0.7101, 0.7101, 0.5000]], "dos_at_fermi_per_ev_atom": 0.67, "m_tot_mub_per_fu": 0.00, "formation_energy_ev_per_atom": -0.256}


No. 7
{"formula": "ErCo2B", "functional": "PBE-GGA", "state": "optimized geometry", "cell": [[1.8107, 1.0454, 4.8002], [-1.8107, 1.0454, 4.8002], [0.0000, -2.0908, 4.8002]], "species": ["Er", "Co", "Co", "B"], "fractional_positions": [[0.0000, 0.0000, 0.0000], [0.1975, 0.1975, 0.1975], [0.8025, 0.8025, 0.8025], [0.5000, 0.5000, 0.5000]], "dos_at_fermi_per_ev_atom": 1.21, "m_tot_mub_per_fu": 0.48, "formation_energy_ev_per_atom": -0.221}


No. 8
{"formula": "ErCoB2", "functional": "PBE-GGA", "state": "optimized geometry", "cell": [[1.7244, 0.9956, 4.5809], [-1.7244, 0.9956, 4.5809], [0.0000, -1.9912, 4.5809]], "species": ["Er", "Co", "B", "B"], "fractional_positions": [[0.0000, 0.0000, 0.0000], [0.5000, 0.5000, 0.5000], [0.1955, 0.1955, 0.1955], [0.8045, 0.8045, 0.8045]], "dos_at_fermi_per_ev_atom": 0.65, "m_tot_mub_per_fu": 0.00, "formation_energy_ev_per_atom": -0.402}


No. 9
{"formula": "ErCoB3", "functional": "PBE-GGA", "state": "optimized geometry", "cell": [[1.5194, -7.7178, 0.0000], [1.5194, 7.7178, 0.0000], [0.0000, 0.0000, 4.5433]], "species": ["Er", "Er", "Co", "Co", "B", "B", "B", "B", "B", "B"], "fractional_positions": [[0.0784, 0.9216, 0.7500], [0.9216, 0.0784, 0.2500], [0.3929, 0.6071, 0.7500], [0.6071, 0.3929, 0.2500], [0.1931, 0.8069, 0.2500], [0.2889, 0.7111, 0.0457], [0.2889, 0.7111, 0.4543], [0.7111, 0.2889, 0.5457], [0.7111, 0.2889, 0.9543], [0.8069, 0.1931, 0.7500]], "dos_at_fermi_per_ev_atom": 0.51, "m_tot_mub_per_fu": 0.00, "formation_energy_ev_per_atom": -0.110}


No. 10
{"formula": "ErCoB3", "functional": "PBE-GGA", "state": "optimized geometry", "cell": [[1.6943, -9.9349, 0.0000], [1.6943, 9.9349, 0.0000], [0.0000, 0.0000, 3.1168]], "species": ["Er", "Er", "Co", "Co", "B", "B", "B", "B", "B", "B"], "fractional_positions": [[0.0839, 0.9161, 0.7500], [0.9161, 0.0839, 0.2500], [0.2114, 0.7886, 0.2500], [0.7886, 0.2114, 0.7500], [0.3126, 0.6874, 0.2500], [0.3481, 0.6519, 0.7500], [0.4841, 0.5159, 0.7500], [0.5159, 0.4841, 0.2500], [0.6519, 0.3481, 0.2500], [0.6874, 0.3126, 0.7500]], "dos_at_fermi_per_ev_atom": 0.53, "m_tot_mub_per_fu": 0.00, "formation_energy_ev_per_atom": -0.372}


No. 11
{"formula": "Er2Co3B", "functional": "PBE-GGA", "state": "optimized geometry", "cell": [[-1.5713, 2.3057, 6.4040], [1.5713, -2.3057, 6.4040], [1.5713, 2.3057, -6.4040]], "species": ["Er", "Er", "Co", "Co", "Co", "B"], "fractional_positions": [[0.1807, 0.1807, 0.0000], [0.8193, 0.8193, 0.0000], [0.0000, 0.5000, 0.5000], [0.4043, 0.9043, 0.5000], [0.5957, 0.0957, 0.5000], [0.5000, 0.5000, 0.0000]], "dos_at_fermi_per_ev_atom": 0.87, "m_tot_mub_per_fu": 1.64, "formation_energy_ev_per_atom": 0.140}


No. 12
{"formula": "ErCo7B2", "functional": "PBE-GGA", "state": "optimized geometry", "cell": [[3.0926, -5.0131, 0.0000], [3.0926, 5.0131, 0.0000], [0.0000, 0.0000, 4.0045]], "species": ["Er", "Co", "Co", "Co", "Co", "Co", "Co", "Co", "B", "B"], "fractional_positions": [[0.0000, 0.0000, 0.0000], [0.0573, 0.3331, 0.5000], [0.3014, 0.6986, 0.0000], [0.3331, 0.0573, 0.5000], [0.5000, 0.5000, 0.5000], [0.6669, 0.9427, 0.5000], [0.6986, 0.3014, 0.0000], [0.9427, 0.6669, 0.5000], [0.2983, 0.7017, 0.5000], [0.7017, 0.2983, 0.5000]], "dos_at_fermi_per_ev_atom": 1.31, "m_tot_mub_per_fu": 7.51, "formation_energy_ev_per_atom": 0.102}


No. 13
{"formula": "ErCo5B2", "functional": "PBE-GGA", "state": "optimized geometry", "cell": [[-1.7028, 3.1029, 4.1769], [1.7028, -3.1029, 4.1769], [1.7028, 3.1029, -4.1769]], "species": ["Er", "Co", "Co", "Co", "Co", "Co", "B", "B"], "fractional_positions": [[0.0000, 0.0000, 0.0000], [0.1533, 0.3426, 0.8107], [0.4681, 0.6574, 0.8107], [0.5000, 0.0000, 0.5000], [0.5319, 0.3426, 0.1893], [0.8467, 0.6574, 0.1893], [0.2608, 0.7608, 0.5000], [0.7392, 0.2392, 0.5000]], "dos_at_fermi_per_ev_atom": 1.21, "m_tot_mub_per_fu": 3.73, "formation_energy_ev_per_atom": -0.291}


No. 14
{"formula": "ErCoB2", "functional": "PBE-GGA", "state": "optimized geometry", "cell": [[5.8617, 0.0000, 0.0000], [0.0000, 3.1463, 0.0000], [0.0000, 0.0000, 10.0131]], "species": ["Er", "Er", "Er", "Er", "Co", "Co", "Co", "Co", "B", "B", "B", "B", "B", "B", "B", "B"], "fractional_positions": [[0.2435, 0.2500, 0.2046], [0.2565, 0.7500, 0.7046], [0.7435, 0.2500, 0.2954], [0.7565, 0.7500, 0.7954], [0.0902, 0.7500, 0.4238], [0.4098, 0.2500, 0.9238], [0.5902, 0.7500, 0.0762], [0.9098, 0.2500, 0.5762], [0.0582, 0.2500, 0.9469], [0.2274, 0.7500, 0.9910], [0.2726, 0.2500, 0.4910], [0.4418, 0.7500, 0.4469], [0.5582, 0.2500, 0.5531], [0.7274, 0.7500, 0.5090], [0.7726, 0.2500, 0.0090], [0.9418, 0.7500, 0.0531]], "dos_at_fermi_per_ev_atom": 0.65, "m_tot_mub_per_fu": 0.00, "formation_energy_ev_per_atom": -0.262}


No. 15
{"formula": "ErCo12B4", "functional": "PBE-GGA", "state": "optimized geometry", "cell": [[-3.6022, 3.6022, 3.6022], [3.6022, -3.6022, 3.6022], [3.6022, 3.6022, -3.6022]], "species": ["Er", "Co", "Co", "Co", "Co", "Co", "Co", "Co", "Co", "Co", "Co", "Co", "Co", "B", "B", "B", "B"], "fractional_positions": [[0.0000, 0.0000, 0.0000], [0.1664, 0.8248, 0.3416], [0.1752, 0.3416, 0.5167], [0.1752, 0.6584, 0.8336], [0.3416, 0.1664, 0.8248], [0.3416, 0.5167, 0.1752], [0.4833, 0.8248, 0.6584], [0.5167, 0.1752, 0.3416], [0.6584, 0.4833, 0.8248], [0.6584, 0.8336, 0.1752], [0.8248, 0.3416, 0.1664], [0.8248, 0.6584, 0.4833], [0.8336, 0.1752, 0.6584], [0.0000, 0.0000, 0.5000], [0.0000, 0.5000, 0.0000], [0.5000, 0.0000, 0.0000], [0.5000, 0.5000, 0.5000]], "dos_at_fermi_per_ev_atom": 1.00, "m_tot_mub_per_fu": 14.16, "formation_energy_ev_per_atom": 0.073}


No. 16
{"formula": "ErCoB2", "functional": "PBE-GGA", "state": "optimized geometry", "cell": [[5.7618, 0.0000, 0.0000], [0.0000, 5.1909, 0.0000], [0.0000, 0.0000, 6.0253]], "species": ["Er", "Er", "Er", "Er", "Co", "Co", "Co", "Co", "B", "B", "B", "B", "B", "B", "B", "B"], "fractional_positions": [[0.0036, 0.2500, 0.1560], [0.4964, 0.7500, 0.6560], [0.5036, 0.2500, 0.3440], [0.9964, 0.7500, 0.8440], [0.1816, 0.2500, 0.6752], [0.3184, 0.7500, 0.1752], [0.6816, 0.2500, 0.8248], [0.8184, 0.7500, 0.3248], [0.1276, 0.5867, 0.4579], [0.1276, 0.9133, 0.4579], [0.3724, 0.0867, 0.9579], [0.3724, 0.4133, 0.9579], [0.6276, 0.5867, 0.0421], [0.6276, 0.9133, 0.0421], [0.8724, 0.0867, 0.5421], [0.8724, 0.4133, 0.5421]], "dos_at_fermi_per_ev_atom": 0.33, "m_tot_mub_per_fu": 0.00, "formation_energy_ev_per_atom": -0.565}


No. 17
{"formula": "ErCo6B3", "functional": "PBE-GGA", "state": "optimized geometry", "cell": [[4.9519, 0.0000, 0.0000], [2.4738, 4.3613, 0.0000], [2.4754, -0.8752, 4.8513]], "species": ["Er", "Co", "Co", "Co", "Co", "Co", "Co", "B", "B", "B"], "fractional_positions": [[0.0000, 0.0000, 0.0000], [0.1925, 0.4254, 0.6913], [0.3088, 0.0527, 0.3298], [0.3647, 0.5343, 0.2153], [0.6916, 0.4244, 0.6912], [0.7499, 0.8984, 0.5992], [0.8864, 0.5341, 0.2147], [0.4062, 0.6785, 0.5110], [0.4089, 0.2300, 0.9523], [0.6682, 0.7080, 0.9555]], "dos_at_fermi_per_ev_atom": 1.01, "m_tot_mub_per_fu": 2.84, "formation_energy_ev_per_atom": -0.282}


No. 18
{"formula": "ErCo4B4", "functional": "PBE-GGA", "state": "optimized geometry", "cell": [[6.9086, 0.0000, 0.0000], [0.0000, 6.9086, 0.0000], [0.0000, 0.0000, 3.8156]], "species": ["Er", "Er", "Co", "Co", "Co", "Co", "Co", "Co", "Co", "Co", "B", "B", "B", "B", "B", "B", "B", "B"], "fractional_positions": [[0.2500, 0.2500, 0.2500], [0.7500, 0.7500, 0.7500], [0.1090, 0.6308, 0.1403], [0.1308, 0.8910, 0.6403], [0.3692, 0.6090, 0.6403], [0.3910, 0.8692, 0.1403], [0.6090, 0.1308, 0.8597], [0.6308, 0.3910, 0.3597], [0.8692, 0.1090, 0.3597], [0.8910, 0.3692, 0.8597], [0.0500, 0.9130, 0.1439], [0.0870, 0.5500, 0.6439], [0.4130, 0.9500, 0.6439], [0.4500, 0.5870, 0.1439], [0.5500, 0.4130, 0.8561], [0.5870, 0.0500, 0.3561], [0.9130, 0.4500, 0.3561], [0.9500, 0.0870, 0.8561]], "dos_at_fermi_per_ev_atom": 0.50, "m_tot_mub_per_fu": 0.00, "formation_energy_ev_per_atom": -0.521}


No. 19
{"formula": "ErCo3B3", "functional": "PBE-GGA", "state": "optimized geometry", "cell": [[6.5869, 0.0000, 0.0000], [0.0000, 6.5869, 0.0000], [0.0000, 0.0000, 6.5869]], "species": ["Er", "Er", "Er", "Er", "Co", "Co", "Co", "Co", "Co", "Co", "Co", "Co", "Co", "Co", "Co", "Co", "B", "B", "B", "B", "B", "B", "B", "B", "B", "B", "B", "B"], "fractional_positions": [[0.0535, 0.4465, 0.5535], [0.4465, 0.5535, 0.0535], [0.5535, 0.0535, 0.4465], [0.9465, 0.9465, 0.9465], [0.1035, 0.6035, 0.8965], [0.1810, 0.1810, 0.1810], [0.2068, 0.7932, 0.2932], [0.2932, 0.2068, 0.7932], [0.3190, 0.8190, 0.6810], [0.3965, 0.3965, 0.3965], [0.6035, 0.8965, 0.1035], [0.6810, 0.3190, 0.8190], [0.7068, 0.7068, 0.7068], [0.7932, 0.2932, 0.2068], [0.8190, 0.6810, 0.3190], [0.8965, 0.1035, 0.6035], [0.0088, 0.8275, 0.5535], [0.0535, 0.4912, 0.1725], [0.1725, 0.0535, 0.4912], [0.3275, 0.9465, 0.9912], [0.4465, 0.5088, 0.6725], [0.4912, 0.1725, 0.0535], [0.5088, 0.6725, 0.4465], [0.5535, 0.0088, 0.8275], [0.6725, 0.4465, 0.5088], [0.8275, 0.5535, 0.0088], [0.9465, 0.9912, 0.3275], [0.9912, 0.3275, 0.9465]], "dos_at_fermi_per_ev_atom": 0.87, "m_tot_mub_per_fu": 0.00, "formation_energy_ev_per_atom": -0.164}


No. 20
{"formula": "ErFeCoB2", "functional": "PBE-GGA", "state": "optimized geometry", "cell": [[-1.7999, 1.7999, 4.5608], [1.7999, -1.7999, 4.5608], [1.7999, 1.7999, -4.5608]], "species": ["Er", "Fe", "Co", "B", "B"], "fractional_positions": [[0.0000, 0.0000, 0.0000], [0.7500, 0.2500, 0.5000], [0.2500, 0.7500, 0.5000], [0.3429, 0.3429, 0.0000], [0.6571, 0.6571, 0.0000]], "dos_at_fermi_per_ev_atom": 0.34, "m_tot_mub_per_fu": 0.00, "formation_energy_ev_per_atom": -0.530}